#A
A relaxed Si2SeI2 crystal. Source: Alexandria via LeMat-Bulk, functional PBE.

Cell lengths 9.1701, 9.1701, 3.5708 Å; angles 90.00, 90.00, 90.00 degrees
Closest atoms and distances in Å follow each position.
Sites, in units of the cell vectors:
Si 0.2157 0.2843 0.0000  2 I 2.68
Si 0.2843 0.7843 0.0000  2 I 2.68
Si 0.7157 0.2157 0.0000  2 I 2.68
Si 0.7843 0.7157 0.0000  2 I 2.68
Se 0.0000 0.0000 0.5000  2 Se 3.57, 4 I 3.59, 8 Si 3.73
Se 0.5000 0.5000 0.5000  2 Se 3.57, 4 I 3.59, 8 Si 3.73
I 0.1304 0.6304 0.5000  2 Si 2.68
I 0.3696 0.1304 0.5000  2 Si 2.68
I 0.6304 0.8696 0.5000  2 Si 2.68
I 0.8696 0.3696 0.5000  2 Si 2.68

#B
A relaxed Si2SeI2 crystal. Source: Alexandria via LeMat-Bulk, functional PBE.

Cell lengths 6.5969, 6.5969, 6.5969 Å; angles 132.08, 132.08, 70.10 degrees
Closest atoms and distances in Å follow each position.
Sites, in units of the cell vectors:
Si 0.2500 0.7500 0.5000  4 I 2.85
Si 0.7500 0.2500 0.5000  4 I 2.85
Se 0.0000 0.0000 0.0000  2 I 3.67, 8 Si 3.80
I 0.3402 0.3402 0.0000  4 Si 2.85
I 0.6598 0.6598 0.0000  4 Si 2.85

Most favorable first, least favorable last: #B, #A

#A
A relaxed Sm2SeI crystal. Source: Alexandria via LeMat-Bulk, functional PBE.

Cell lengths 8.4357, 8.4357, 8.4357 Å; angles 27.74, 27.74, 27.74 degrees
Closest atoms and distances in Å follow each position.
Sites, in units of the cell vectors:
Sm 0.0000 0.0000 0.0000  3 Se 2.89
Sm 0.1941 0.1941 0.1941  3 Se 2.88
Se 0.5965 0.5965 0.5965  6 Sm 2.88-2.89
I 0.4297 0.4297 0.4297  6 Sm 3.31-3.33

#B
A relaxed Sm2SeI crystal. Source: Alexandria via LeMat-Bulk, functional PBE.

Cell lengths 7.7509, 7.7509, 7.7509 Å; angles 32.33, 32.33, 32.33 degrees
Closest atoms and distances in Å follow each position.
Sites, in units of the cell vectors:
Sm 0.2292 0.2292 0.2292  3 Se 2.85
Sm 0.7708 0.7708 0.7708  3 Se 2.85
Se 0.5000 0.5000 0.5000  6 Sm 2.85
I 0.0000 0.0000 0.0000  6 Sm 3.39

Most favorable first, least favorable last: #A, #B

#A
A relaxed Sn2Se2I crystal. Source: Alexandria via LeMat-Bulk, functional PBE.

Cell lengths 6.9133, 6.9133, 6.9133 Å; angles 135.42, 135.42, 64.88 degrees
Closest atoms and distances in Å follow each position.
Sites, in units of the cell vectors:
Sn 0.2500 0.7500 0.5000  4 Se 2.85
Sn 0.7500 0.2500 0.5000  4 Se 2.85
Se 0.1538 0.1538 0.0000  4 Sn 2.85
Se 0.8462 0.8462 0.0000  4 Sn 2.85
I 0.5000 0.5000 0.0000  8 Sn 3.92, 10 Se 4.04-4.12

#B
A relaxed Sn2Se2I crystal. Source: Alexandria via LeMat-Bulk, functional PBE.

Cell lengths 7.8722, 7.8722, 7.8722 Å; angles 145.74, 145.74, 49.23 degrees
Closest atoms and distances in Å follow each position.
Sites, in units of the cell vectors:
Sn 0.1257 0.1257 0.0000  4 Se 2.92
Sn 0.8743 0.8743 0.0000  4 Se 2.92
Se 0.2500 0.7500 0.5000  4 Sn 2.92
Se 0.7500 0.2500 0.5000  4 Sn 2.92
I 0.5000 0.5000 0.0000  8 Sn 3.74

Most favorable first, least favorable last: #B, #A

#A
A relaxed Sn2Se2I crystal. Source: Alexandria via LeMat-Bulk, functional PBE.

Cell lengths 8.4841, 8.4841, 3.7978 Å; angles 90.00, 90.00, 90.00 degrees
Closest atoms and distances in Å follow each position.
Sites, in units of the cell vectors:
Sn 0.1629 0.3371 0.0000  6 Se 3.06-3.18, 2 I 3.18
Sn 0.3371 0.8371 0.0000  6 Se 3.06-3.18, 2 I 3.18
Sn 0.6629 0.1629 0.0000  6 Se 3.06-3.18, 2 I 3.18
Sn 0.8371 0.6629 0.0000  6 Se 3.06-3.18, 2 I 3.18
Se 0.1373 0.6373 0.5000  6 Sn 3.06-3.18, 1 Se 3.29
Se 0.3627 0.1373 0.5000  6 Sn 3.06-3.18, 1 Se 3.29
Se 0.6373 0.8627 0.5000  6 Sn 3.06-3.18, 1 Se 3.29
Se 0.8627 0.3627 0.5000  6 Sn 3.06-3.18, 1 Se 3.29
I 0.0000 0.0000 0.0000  4 Sn 3.18
I 0.5000 0.5000 0.0000  4 Sn 3.18

#B
A relaxed Sn2Se2I crystal. Source: Alexandria via LeMat-Bulk, functional PBE.

Cell lengths 7.6322, 7.6322, 7.6322 Å; angles 147.59, 136.00, 55.70 degrees
Closest atoms and distances in Å follow each position.
Sites, in units of the cell vectors:
Sn 0.1876 0.1876 0.0000  4 Se 2.86-2.87
Sn 0.8124 0.8124 0.0000  4 Se 2.86-2.87
Se 0.3291 0.8291 0.5000  4 Sn 2.86-2.87
Se 0.6709 0.1709 0.5000  4 Sn 2.86-2.87
I 0.0000 0.5000 0.5000  4 Sn 3.31

#C
A relaxed Sn2Se2I crystal. Source: Alexandria via LeMat-Bulk, functional PBE.

Cell lengths 8.9804, 8.9804, 3.6357 Å; angles 90.00, 90.00, 90.00 degrees
Closest atoms and distances in Å follow each position.
Sites, in units of the cell vectors:
Sn 0.1361 0.3639 0.0000  4 Se 3.00
Sn 0.3639 0.8639 0.0000  4 Se 3.00
Sn 0.6361 0.1361 0.0000  4 Se 3.00
Sn 0.8639 0.6361 0.0000  4 Se 3.00
Se 0.1296 0.6296 0.5000  4 Sn 3.00, 1 Se 3.29
Se 0.3704 0.1296 0.5000  4 Sn 3.00, 1 Se 3.29
Se 0.6296 0.8704 0.5000  4 Sn 3.00, 1 Se 3.29
Se 0.8704 0.3704 0.5000  4 Sn 3.00, 1 Se 3.29
I 0.0000 0.0000 0.5000  4 Se 3.52, 2 I 3.64, 8 Sn 3.93
I 0.5000 0.5000 0.5000  4 Se 3.52, 2 I 3.64, 8 Sn 3.93

#D
A relaxed Sn2Se2I crystal. Source: Alexandria via LeMat-Bulk, functional PBE.

Cell lengths 9.5952, 9.5952, 4.1747 Å; angles 102.50, 102.50, 25.11 degrees
Closest atoms and distances in Å follow each position.
Sites, in units of the cell vectors:
Sn 0.1645 0.1645 0.1647  5 Se 2.91-2.96, 1 I 3.01
Sn 0.8355 0.8355 0.8353  5 Se 2.91-2.96, 1 I 3.01
Se 0.3238 0.3238 0.3253  5 Sn 2.91-2.96
Se 0.6762 0.6762 0.6747  5 Sn 2.91-2.96
I 0.0000 0.0000 0.0000  2 Sn 3.01

Most favorable first, least favorable last: #B, #D, #A, #C

#A
A relaxed Sn2SeI crystal. Source: Alexandria via LeMat-Bulk, functional PBE.

Cell lengths 9.8128, 9.8128, 9.8128 Å; angles 144.82, 144.82, 50.61 degrees
Closest atoms and distances in Å follow each position.
Sites, in units of the cell vectors:
Sn 0.0526 0.6250 0.9276  2 Se 2.87
Sn 0.3750 0.3026 0.4276  2 Se 2.87
Sn 0.6974 0.1250 0.0724  2 Se 2.87
Sn 0.8750 0.9474 0.5724  2 Se 2.87
Se 0.0000 0.0000 0.0000  4 Sn 2.87
Se 0.7500 0.2500 0.5000  4 Sn 2.87
I 0.2500 0.7500 0.5000  4 Sn 3.28
I 0.5000 0.5000 0.0000  4 Sn 3.28

#B
A relaxed Sn2SeI crystal. Source: Alexandria via LeMat-Bulk, functional PBE.

Cell lengths 9.1155, 9.1155, 9.1155 Å; angles 25.64, 25.64, 25.64 degrees
Closest atoms and distances in Å follow each position.
Sites, in units of the cell vectors:
Sn 0.0000 0.0000 0.0000  3 Se 2.97
Sn 0.1897 0.1897 0.1897  3 Se 3.05
Se 0.5972 0.5972 0.5972  6 Sn 2.97-3.05
I 0.4259 0.4259 0.4259  6 Sn 3.38-3.47

#C
A relaxed Sn2SeI crystal. Source: Alexandria via LeMat-Bulk, functional PBE.

Cell lengths 9.0413, 9.0413, 9.0413 Å; angles 25.98, 25.98, 25.98 degrees
Closest atoms and distances in Å follow each position.
Sites, in units of the cell vectors:
Sn 0.2390 0.2390 0.2390  3 Se 3.02
Sn 0.7610 0.7610 0.7610  3 Se 3.02
Se 0.5000 0.5000 0.5000  6 Sn 3.02
I 0.0000 0.0000 0.0000  6 Sn 3.41

Most favorable first, least favorable last: #C, #B, #A

#A
A relaxed Sn2SeI crystal. Source: Alexandria via LeMat-Bulk, functional PBE.

Cell lengths 9.5293, 9.5293, 7.5767 Å; angles 106.58, 106.58, 116.33 degrees
Closest atoms and distances in Å follow each position.
Sites, in units of the cell vectors:
Sn 0.0404 0.4168 0.2970  3 Se 2.92-3.02
Sn 0.1686 0.3076 0.7057  2 Se 2.95-3.09, 2 I 3.23-3.26
Sn 0.3076 0.1686 0.2057  2 Se 2.95-3.09, 2 I 3.23-3.26
Sn 0.4168 0.0404 0.7970  3 Se 2.92-3.02
Sn 0.5832 0.9596 0.2030  3 Se 2.92-3.02
Sn 0.6924 0.8314 0.7943  2 Se 2.95-3.09, 2 I 3.23-3.26
Sn 0.8314 0.6924 0.2943  2 Se 2.95-3.09, 2 I 3.23-3.26
Sn 0.9596 0.5832 0.7030  3 Se 2.92-3.02
Se 0.0650 0.9350 0.7500  4 Sn 2.92-2.95
Se 0.3157 0.6843 0.7500  6 Sn 2.96-3.09
Se 0.6843 0.3157 0.2500  6 Sn 2.96-3.09
Se 0.9350 0.0650 0.2500  4 Sn 2.92-2.95
I 0.1882 0.8118 0.2500  6 Sn 3.23-3.55
I 0.4383 0.5617 0.2500  6 Sn 3.26-3.58
I 0.5617 0.4383 0.7500  6 Sn 3.26-3.58
I 0.8118 0.1882 0.7500  6 Sn 3.23-3.55

#B
A relaxed Sn2SeI crystal. Source: Alexandria via LeMat-Bulk, functional PBE.

Cell lengths 5.4320, 5.4320, 5.4320 Å; angles 60.00, 60.00, 60.00 degrees
Closest atoms and distances in Å follow each position.
Sites, in units of the cell vectors:
Sn 0.2500 0.2500 0.2500  4 I 3.33, 4 Se 3.33
Sn 0.7500 0.7500 0.7500  4 I 3.33, 4 Se 3.33
Se 0.0000 0.0000 0.0000  8 Sn 3.33
I 0.5000 0.5000 0.5000  8 Sn 3.33

Most favorable first, least favorable last: #A, #B

#A
A relaxed Sn3Se3I crystal. Source: Alexandria via LeMat-Bulk, functional PBE.

Cell lengths 10.1349, 10.1349, 5.8086 Å; angles 90.00, 90.00, 120.00 degrees
Closest atoms and distances in Å follow each position.
Sites, in units of the cell vectors:
Sn 0.0741 0.3131 0.2500  4 Se 2.73-2.94
Sn 0.2390 0.9259 0.2500  4 Se 2.73-2.94
Sn 0.3131 0.2390 0.7500  4 Se 2.73-2.94
Sn 0.6869 0.7610 0.2500  4 Se 2.73-2.94
Sn 0.7610 0.0741 0.7500  4 Se 2.73-2.94
Sn 0.9259 0.6869 0.7500  4 Se 2.73-2.94
Se 0.0586 0.3008 0.7500  4 Sn 2.73-2.94
Se 0.2422 0.9414 0.7500  4 Sn 2.73-2.94
Se 0.3008 0.2422 0.2500  4 Sn 2.73-2.94
Se 0.6992 0.7578 0.7500  4 Sn 2.73-2.94
Se 0.7578 0.0586 0.2500  4 Sn 2.73-2.94
Se 0.9414 0.6992 0.2500  4 Sn 2.73-2.94
I 0.3333 0.6667 0.2500  3 Sn 3.21
I 0.6667 0.3333 0.7500  3 Sn 3.21

#B
A relaxed Sn3Se3I crystal. Source: Alexandria via LeMat-Bulk, functional PBE.

Cell lengths 9.0196, 9.0196, 9.0196 Å; angles 57.39, 57.39, 57.39 degrees
Closest atoms and distances in Å follow each position.
Sites, in units of the cell vectors:
Sn 0.0841 0.7536 0.4734  4 Se 2.78-2.98
Sn 0.2464 0.5266 0.9159  4 Se 2.78-2.98
Sn 0.4734 0.0841 0.7536  4 Se 2.78-2.98
Sn 0.5266 0.9159 0.2464  4 Se 2.78-2.98
Sn 0.7536 0.4734 0.0841  4 Se 2.78-2.98
Sn 0.9159 0.2464 0.5266  4 Se 2.78-2.98
Se 0.1263 0.3939 0.7980  4 Sn 2.78-2.98
Se 0.2020 0.8737 0.6061  4 Sn 2.78-2.98
Se 0.3939 0.7980 0.1263  4 Sn 2.78-2.98
Se 0.6061 0.2020 0.8737  4 Sn 2.78-2.98
Se 0.7980 0.1263 0.3939  4 Sn 2.78-2.98
Se 0.8737 0.6061 0.2020  4 Sn 2.78-2.98
I 0.3284 0.3284 0.3284  6 Sn 3.46-3.80, 3 Se 3.85
I 0.6716 0.6716 0.6716  6 Sn 3.46-3.80, 3 Se 3.85

Most favorable first, least favorable last: #A, #B

#A
A relaxed SnTeSeI2 crystal. Source: Alexandria via LeMat-Bulk, functional PBE.

Cell lengths 6.0005, 6.0005, 5.9243 Å; angles 90.00, 90.00, 90.00 degrees
Closest atoms and distances in Å follow each position.
Sites, in units of the cell vectors:
Sn 0.0000 0.0000 0.0000  2 Te 2.96, 4 I 3.00
Te 0.0000 0.0000 0.5000  2 Sn 2.96
Se 0.5000 0.5000 0.5000  8 I 4.22, 4 Te 4.24
I 0.0000 0.5000 0.0000  2 Sn 3.00
I 0.5000 0.0000 0.0000  2 Sn 3.00

#B
A relaxed SnTeSeI2 crystal. Source: Alexandria via LeMat-Bulk, functional PBE.

Cell lengths 5.6902, 5.6902, 5.6327 Å; angles 90.00, 90.00, 90.00 degrees
Closest atoms and distances in Å follow each position.
Sites, in units of the cell vectors:
Sn 0.0000 0.0000 0.0000  8 I 4.00, 4 Te 4.02
Te 0.5000 0.5000 0.0000  2 Se 2.82
Se 0.5000 0.5000 0.5000  2 Te 2.82, 4 I 2.85
I 0.0000 0.5000 0.5000  2 Se 2.85
I 0.5000 0.0000 0.5000  2 Se 2.85

Most favorable first, least favorable last: #B, #A

#A
A relaxed Sr3Se2I2 crystal. Source: Alexandria via LeMat-Bulk, functional PBE.

Cell lengths 7.8528, 7.8528, 8.2975 Å; angles 98.27, 98.27, 33.05 degrees
Closest atoms and distances in Å follow each position.
Sites, in units of the cell vectors:
Sr 0.0000 0.0000 0.0000  4 Se 3.12, 2 I 3.43
Sr 0.2350 0.2350 0.7719  3 Se 3.07-3.08, 3 I 3.38-3.42
Sr 0.7650 0.7650 0.2281  3 Se 3.07-3.08, 3 I 3.38-3.42
Se 0.3711 0.3711 0.0892  5 Sr 3.07-3.12
Se 0.6289 0.6289 0.9108  5 Sr 3.07-3.12
I 0.1294 0.1294 0.3770  4 Sr 3.38-3.43
I 0.8706 0.8706 0.6230  4 Sr 3.38-3.43

#B
A relaxed Sr3Se2I2 crystal. Source: Alexandria via LeMat-Bulk, functional PBE.

Cell lengths 8.7498, 8.7498, 8.1896 Å; angles 116.08, 116.08, 31.93 degrees
Closest atoms and distances in Å follow each position.
Sites, in units of the cell vectors:
Sr 0.0000 0.0000 0.0000  2 Se 2.97
Sr 0.2910 0.2910 0.2360  3 Se 2.98-3.05
Sr 0.7090 0.7090 0.7640  3 Se 2.98-3.05
Se 0.1321 0.1321 0.8526  4 Sr 2.97-3.05
Se 0.8679 0.8679 0.1474  4 Sr 2.97-3.05
I 0.3625 0.3625 0.7026  5 Sr 3.44-3.73
I 0.6375 0.6375 0.2974  5 Sr 3.44-3.73

Most favorable first, least favorable last: #A, #B

#A
A relaxed SrSe2I2 crystal. Source: Alexandria via LeMat-Bulk, functional PBE.

Cell lengths 13.1305, 13.1305, 13.1305 Å; angles 162.93, 162.93, 24.23 degrees
Closest atoms and distances in Å follow each position.
Sites, in units of the cell vectors:
Sr 0.0000 0.0000 0.0000  8 I 3.39
Se 0.2500 0.7500 0.5000  4 Se 2.76
Se 0.7500 0.2500 0.5000  4 Se 2.76
I 0.4234 0.4234 0.0000  4 Sr 3.39
I 0.5766 0.5766 0.0000  4 Sr 3.39

#B
A relaxed SrSe2I2 crystal. Source: Alexandria via LeMat-Bulk, functional PBE.

Cell lengths 8.1065, 8.1065, 5.2396 Å; angles 90.00, 90.00, 90.00 degrees
Closest atoms and distances in Å follow each position.
Sites, in units of the cell vectors:
Sr 0.0000 0.0000 0.0000  4 Se 3.35
Sr 0.5000 0.5000 0.0000  4 Se 3.35
Se 0.0985 0.4015 0.0000  1 Se 2.26
Se 0.4015 0.9015 0.0000  1 Se 2.26
Se 0.5985 0.0985 0.0000  1 Se 2.26
Se 0.9015 0.5985 0.0000  1 Se 2.26
I 0.2342 0.7342 0.5000  2 Se 3.25
I 0.2658 0.2342 0.5000  2 Se 3.25
I 0.7342 0.7658 0.5000  2 Se 3.25
I 0.7658 0.2658 0.5000  2 Se 3.25

Most favorable first, least favorable last: #A, #B

#A
A relaxed SrSeI3 crystal. Source: Alexandria via LeMat-Bulk, functional PBE.

Cell lengths 5.8713, 5.8713, 5.8713 Å; angles 90.00, 90.00, 90.00 degrees
Closest atoms and distances in Å follow each position.
Sites, in units of the cell vectors:
Sr 0.0000 0.0000 0.0000  12 I 4.15
Se 0.5000 0.5000 0.5000  6 I 2.94
I 0.0000 0.5000 0.5000  2 Se 2.94
I 0.5000 0.0000 0.5000  2 Se 2.94
I 0.5000 0.5000 0.0000  2 Se 2.94

#B
A relaxed SrSeI3 crystal. Source: Alexandria via LeMat-Bulk, functional PBE.

Cell lengths 6.4202, 6.4202, 6.4202 Å; angles 90.00, 90.00, 90.00 degrees
Closest atoms and distances in Å follow each position.
Sites, in units of the cell vectors:
Sr 0.0000 0.0000 0.0000  6 I 3.21
Se 0.5000 0.5000 0.5000  12 I 4.54
I 0.0000 0.0000 0.5000  2 Sr 3.21
I 0.0000 0.5000 0.0000  2 Sr 3.21
I 0.5000 0.0000 0.0000  2 Sr 3.21

Most favorable first, least favorable last: #A, #B